PBE Zr2CuP, relaxed; SG = Pmmm; density = 6.66 Mg/m³; energy relative to the elements = -0.53 eV/atom
1.0
3.562 0.000 0.000
0.000 4.205 0.000
0.000 0.000 4.614
Zr Cu P
2 1 1
Cartesian
0.000 0.000 0.000
0.000 2.102 2.307
1.781 0.000 2.307
1.781 2.102 0.000

=====

PBE ZrCu2P2, relaxed; SG = Cmcm; density = 6.42 Mg/m³; energy relative to the elements = -0.62 eV/atom
1.0
1.800 -11.169 0.000
1.800 11.169 0.000
0.000 0.000 3.609
Zr Cu P
2 4 4
Cartesian
1.800 7.645 2.706
1.800 -7.645 0.902
1.800 10.227 0.902
1.800 0.961 0.902
1.800 -0.961 2.706
1.800 -10.227 2.706
1.800 5.584 0.902
1.800 2.525 2.706
1.800 -2.525 0.902
1.800 -5.584 2.706

=====

PBE ZrCuP, relaxed; SG = P4/nmm; density = 6.81 Mg/m³; energy relative to the elements = -0.83 eV/atom
1.0
3.664 0.000 0.000
0.000 3.664 0.000
0.000 0.000 6.747
Zr Cu P
2 2 2
Cartesian
0.916 0.916 0.961
2.748 2.748 5.786
0.916 2.748 3.373
2.748 0.916 3.373
0.916 0.916 4.991
2.748 2.748 1.756

=====

PBE Zr2CuP, relaxed; SG = R-3m; density = 6.09 Mg/m³; energy relative to the elements = -0.69 eV/atom
1.0
3.664 0.000 0.000
-1.832 3.174 0.000
0.000 0.000 19.480
Zr Cu P
6 3 3
Cartesian
0.000 0.000 4.744
0.000 0.000 14.737
0.000 2.116 8.243
0.000 2.116 17.731
1.832 1.058 1.750
1.832 1.058 11.237
0.000 0.000 0.000
0.000 2.116 12.987
1.832 1.058 6.493
0.000 0.000 9.740
0.000 2.116 3.247
1.832 1.058 16.234

=====

PBE Zr2CuP, relaxed; SG = P4/mmm; density = 6.11 Mg/m³; energy relative to the elements = -0.62 eV/atom
1.0
3.753 0.000 0.000
0.000 3.753 0.000
0.000 0.000 5.348
Zr Cu P
2 1 1
Cartesian
0.000 0.000 0.000
1.877 1.877 2.674
0.000 0.000 2.674
1.877 1.877 0.000

=====

PBE Zr3CuP, relaxed; SG = Pm-3m; density = 5.38 Mg/m³; energy relative to the elements = -0.09 eV/atom; relative energy among the computed polymorphs = 0.0 kJ/mol of atoms
1.0
4.845 0.000 0.000
0.000 4.845 0.000
0.000 0.000 4.845
Zr Cu P
3 1 1
Cartesian
0.000 0.000 2.422
0.000 2.422 0.000
2.422 0.000 0.000
2.422 2.422 2.422
0.000 0.000 0.000

=====

PBE Zr2CuP, relaxed; SG = F-43m; density = 6.55 Mg/m³; energy relative to the elements = 0.23 eV/atom
1.0
6.549 0.000 0.000
0.000 6.549 0.000
0.000 0.000 6.549
Zr Cu P
8 4 4
Cartesian
0.000 0.000 0.000
0.000 3.275 3.275
1.637 1.637 1.637
1.637 4.912 4.912
3.275 0.000 3.275
3.275 3.275 0.000
4.912 1.637 4.912
4.912 4.912 1.637
0.000 0.000 3.275
0.000 3.275 0.000
3.275 0.000 0.000
3.275 3.275 3.275
1.637 1.637 4.912
1.637 4.912 1.637
4.912 1.637 1.637
4.912 4.912 4.912

=====

PBE Zr2CuP, relaxed; SG = I4/mmm; density = 6.70 Mg/m³; energy relative to the elements = -0.51 eV/atom
1.0
4.304 0.000 0.000
0.000 4.304 0.000
0.000 0.000 7.414
Zr Cu P
4 2 2
Cartesian
0.000 2.152 1.853
0.000 2.152 5.560
2.152 0.000 1.853
2.152 0.000 5.560
0.000 0.000 0.000
2.152 2.152 3.707
0.000 0.000 3.707
2.152 2.152 0.000